Record 1
BeBAsSe2: relaxed, GGA-PBE.

Its uncorrected formation energy is 0.987 eV/atom. For the energy relative to the lowest polymorph listed for this composition, the calculation gives 0.000 eV per atom.

The structure belongs to space group P4/mmm (No. 123); the cell edges are 4.6713, 4.6713 and 4.0104 Å and the angles 90.00°, 90.00° and 90.00°. The asymmetric unit holds Be at (0.0000, 0.0000, 0.0000), B at (0.5000, 0.5000, 0.5000), As at (0.5000, 0.5000, 0.0000) and Se at (0.0000, 0.5000, 0.5000).

***

Record 2
Y7Mg2Ni2: relaxed, GGA-PBE.

The value obtained for the formation energy is -44 meV/atom.

The structure belongs to space group Cmmm (No. 65); the cell edges are 7.8429, 11.2134 and 7.1432 Å and the angles 90.00°, 90.00° and 90.00°. The asymmetric unit holds Y at (0.0000, 0.0000, 0.0000), Y at (0.0000, 0.5000, 0.2327), Y at (0.2500, 0.2500, 0.2446), Mg at (0.1744, 0.0000, 0.5000) and Ni at (0.0000, 0.2952, 0.0000).

***

Record 3
PrSmCd17: relaxed, GGA-PBE.

The value obtained for the formation energy is -153 meV/atom.

The structure belongs to space group R3m (No. 160, hexagonal axes); the cell edges are 10.0971, 10.0971 and 14.9883 Å and the angles 90.00°, 90.00° and 120.00°. The asymmetric unit holds Pr at (0.0000, 0.0000, 0.0000), Sm at (0.0000, 0.0000, 0.3397), Cd at (0.0000, 0.0000, 0.5645), Cd at (0.0000, 0.0000, 0.7634), Cd at (0.0329, 0.3646, 0.3347), Cd at (0.1716, 0.3432, 0.1473), Cd at (0.1772, 0.3544, 0.5053) and Cd at (0.1872, 0.3744, 0.8506).

***

Record 4
Li2Np2VS6: relaxed, GGA-PBE.

Its uncorrected formation energy is -1.236 eV/atom.

The structure belongs to space group C2/m (No. 12); the cell edges are 6.5656, 11.2512 and 6.4897 Å and the angles 90.00°, 108.44° and 90.00°. The asymmetric unit holds Li at (0.0000, 0.1617, 0.0000), Np at (0.0000, 0.3358, 0.5000), V at (0.0000, 0.0000, 0.5000), S at (0.2270, 0.0000, 0.2601) and S at (0.2309, 0.1587, 0.7380).

***

Record 5
AcDy2Sc: relaxed, GGA-PBE.

For the energy relative to the lowest polymorph listed for this composition, the calculation gives 0.012 eV per atom. The value obtained for the formation energy is 103 meV/atom.

The structure belongs to space group R-3m (No. 166, hexagonal axes); the cell edges are 3.6303, 3.6303 and 34.4417 Å and the angles 90.00°, 90.00° and 120.00°. The asymmetric unit holds Ac at (0.0000, 0.0000, 0.0000), Dy at (0.0000, 0.0000, 0.2438) and Sc at (0.0000, 0.0000, 0.5000).

***

Record 6
BaMgCr: relaxed, GGA-PBE.

For the energy relative to the lowest polymorph listed for this composition, the calculation gives 0.240 eV per atom. The value obtained for the formation energy is 752 meV/atom.

The structure belongs to space group P3m1 (No. 156); the cell edges are 3.7990, 3.7990 and 7.6562 Å and the angles 90.00°, 90.00° and 120.00°. The asymmetric unit holds Ba at (0.0000, 0.0000, 0.0000), Mg at (0.6667, 0.3333, 0.6005) and Cr at (0.3333, 0.6667, 0.3470).

***

Record 7
DyThNi10: relaxed, GGA-PBE.

The value obtained for the formation energy is -367 meV/atom.

The structure belongs to space group Pmmm (No. 47); the cell edges are 3.9790, 4.9135 and 8.4953 Å and the angles 90.00°, 90.00° and 90.00°. The asymmetric unit holds Dy at (0.0000, 0.0000, 0.0000), Th at (0.0000, 0.5000, 0.5000), Ni at (0.0000, 0.0000, 0.3316), Ni at (0.0000, 0.5000, 0.1652), Ni at (0.5000, 0.0000, 0.5000), Ni at (0.5000, 0.2495, 0.2480) and Ni at (0.5000, 0.5000, 0.0000).

***

Record 8
ZrNi: relaxed, GGA-PBE.

The value obtained for the formation energy is 18 meV/atom.

The structure belongs to space group P-3m1 (No. 164); the cell edges are 3.4746, 3.4746 and 7.0807 Å and the angles 90.00°, 90.00° and 120.00°. The asymmetric unit holds Zr at (0.3333, 0.6667, 0.3203) and Ni at (0.3333, 0.6667, 0.9118).

***

Record 9
TlTcMo2: relaxed, GGA-PBE.

For the energy relative to the lowest polymorph listed for this composition, the calculation gives 0.078 eV per atom. The value obtained for the formation energy is 492 meV/atom.

The structure belongs to space group Immm (No. 71); the cell edges are 3.2797, 4.4722 and 9.2234 Å and the angles 90.00°, 90.00° and 90.00°. The asymmetric unit holds Tl at (0.0000, 0.0000, 0.0000), Tc at (0.0000, 0.0000, 0.5000) and Mo at (0.0000, 0.5000, 0.2368).

***

Record 10
RbIN: relaxed, GGA-PBE.

Its uncorrected formation energy is -0.968 eV/atom. For the energy relative to the lowest polymorph listed for this composition, the calculation gives 0.003 eV per atom.

The structure belongs to space group P-1 (No. 2); the cell edges are 6.3307, 6.3323 and 7.4242 Å and the angles 87.35°, 87.04° and 64.10°. The asymmetric unit holds Rb at (0.1767, 0.1813, 0.2498), I at (0.1701, 0.1656, 0.7458) and N at (0.4543, 0.4551, 0.0406).

***

Record 11
Sc2CoS: relaxed, GGA-PBE.

Its uncorrected formation energy is -0.512 eV/atom.

The structure belongs to space group I-42d (No. 122); the cell edges are 6.5917, 6.5917 and 6.9804 Å and the angles 90.00°, 90.00° and 90.00°. The asymmetric unit holds Sc at (0.2402, 0.2500, 0.1250), Co at (0.0000, 0.0000, 0.0000) and S at (0.0000, 0.0000, 0.5000).

***

Record 12
Ac4AgHg3: relaxed, GGA-PBE.

For the energy relative to the lowest polymorph listed for this composition, the calculation gives 0.030 eV per atom. The value obtained for the formation energy is -395 meV/atom.

The structure belongs to space group Pmm2 (No. 25); the cell edges are 4.2206, 5.1613 and 12.3418 Å and the angles 90.00°, 90.00° and 90.00°. The asymmetric unit holds Ac at (0.0000, 0.0000, 0.0000), Ac at (0.0000, 0.5000, 0.2780), Ac at (0.5000, 0.0000, 0.4911), Ac at (0.5000, 0.5000, 0.7812), Ag at (0.5000, 0.0000, 0.2161), Hg at (0.0000, 0.0000, 0.7204), Hg at (0.0000, 0.5000, 0.5541) and Hg at (0.5000, 0.5000, 0.0591).

***

Record 13
Mg3Cd: relaxed, GGA-PBE.

The value obtained for the formation energy is -42 meV/atom.

The structure belongs to space group P4/mmm (No. 123); the cell edges are 3.2240, 3.2240 and 8.6175 Å and the angles 90.00°, 90.00° and 90.00°. The asymmetric unit holds Mg at (0.0000, 0.0000, 0.0000), Mg at (0.5000, 0.5000, 0.2584) and Cd at (0.0000, 0.0000, 0.5000).

***

Record 14
CaZnW2: relaxed, GGA-PBE.

The value obtained for the formation energy is 793 meV/atom.

The structure belongs to space group Cmmm (No. 65); the cell edges are 5.5381, 9.6502 and 2.7114 Å and the angles 90.00°, 90.00° and 90.00°. The asymmetric unit holds Ca at (0.0000, 0.0000, 0.0000), Zn at (0.0000, 0.5000, 0.0000) and W at (0.2500, 0.2500, 0.5000).

***

Record 15
Cr2AgPd2: relaxed, GGA-PBE.

For the energy relative to the lowest polymorph listed for this composition, the calculation gives 0.000 eV per atom. The value obtained for the formation energy is 228 meV/atom.

The structure belongs to space group P4/mbm (No. 127); the cell edges are 7.3892, 7.3892 and 2.7818 Å and the angles 90.00°, 90.00° and 90.00°. The asymmetric unit holds Cr at (0.0898, 0.4102, 0.0000), Ag at (0.0000, 0.0000, 0.0000) and Pd at (0.1986, 0.6986, 0.5000).

***

Record 16
HoZrBi: relaxed, GGA-PBE.

The value obtained for the formation energy is -539 meV/atom.

The structure belongs to space group P4/nmm (No. 129, origin choice 2); the cell edges are 4.3819, 4.3819 and 8.3266 Å and the angles 90.00°, 90.00° and 90.00°. The asymmetric unit holds Ho at (0.2500, 0.2500, 0.1534), Zr at (0.2500, 0.7500, 0.5000) and Bi at (0.2500, 0.2500, 0.7696).

***

Record 17
La2MgCd: relaxed, GGA-PBE.

The value obtained for the formation energy is -82 meV/atom.

The structure belongs to space group Pmm2 (No. 25); the cell edges are 3.6127, 4.6885 and 6.9532 Å and the angles 90.00°, 90.00° and 90.00°. The asymmetric unit holds La at (0.0000, 0.0000, 0.0000), La at (0.5000, 0.5000, 0.2477), Mg at (0.0000, 0.0000, 0.5110) and Cd at (0.5000, 0.5000, 0.7416).

***

Record 18
ScBeOs2: relaxed, GGA-PBE.

The value obtained for the formation energy is -68 meV/atom.

The structure belongs to space group P4mm (No. 99); the cell edges are 3.0028, 3.0028 and 6.3967 Å and the angles 90.00°, 90.00° and 90.00°. The asymmetric unit holds Sc at (0.0000, 0.0000, 0.0000), Be at (0.5000, 0.5000, 0.2957), Os at (0.0000, 0.0000, 0.4473) and Os at (0.5000, 0.5000, 0.7156).

***

Record 19
PrYCdCo: relaxed, GGA-PBE.

The value obtained for the formation energy is -76 meV/atom.

The structure belongs to space group F-43m (No. 216); the cell edges are 7.2899, 7.2899 and 7.2899 Å and the angles 90.00°, 90.00° and 90.00°. The asymmetric unit holds Pr at (0.0000, 0.0000, 0.0000), Y at (0.0000, 0.0000, 0.5000), Cd at (0.2500, 0.2500, 0.2500) and Co at (0.2500, 0.2500, 0.7500).

***

Record 20
Cs3AgAu2: relaxed, GGA-PBE.

For the energy relative to the lowest polymorph listed for this composition, the calculation gives 0.000 eV per atom. The value obtained for the formation energy is -209 meV/atom.

The structure belongs to space group Pnma (No. 62); the cell edges are 13.8657, 5.1416 and 14.6125 Å and the angles 90.00°, 90.00° and 90.00°. The asymmetric unit holds Cs at (0.0581, 0.2500, 0.1182), Cs at (0.1215, 0.7500, 0.5503), Cs at (0.1968, 0.2500, 0.7939), Ag at (0.1241, 0.2500, 0.3577), Au at (0.0461, 0.7500, 0.3187) and Au at (0.2046, 0.7500, 0.9735).